Below is a relaxed Cs2TlCoO4 crystal, with properties calculated at the PBE with a Hubbard U level.

Cell: 5.651 12.850 22.430 Å, 90.00 90.00 90.00°
Space group Fddd (No. 70, origin choice 2)
Asymmetric unit:
Cs 0.125 0.125 0.304
Tl 0.125 0.125 0.125
Co 0.125 0.125 0.625
O 0.085 0.287 0.834

Values from the calculation:
Total magnetic moment = 0.500 μB per atom
Crystal system = orthorhombic
Total energy = -4.583 eV per atom